[1]
# CaMo4Au GGA-PBE optimized geometry
# Formation enthalpy at 0 K: 0.45 eV/atom
data_CaMo4Au
_chemical_formula_sum 'Ca4 Mo16 Au4'
_symmetry_space_group_name_H-M 'F -4 3 m'
_symmetry_Int_Tables_number 216
_symmetry_space_group_name_Hall 'F -4 2 3'
_cell_length_a 7.608
_cell_length_b 7.608
_cell_length_c 7.608
_cell_angle_alpha 90.00
_cell_angle_beta 90.00
_cell_angle_gamma 90.00
loop_
_atom_site_label
_atom_site_fract_x
_atom_site_fract_y
_atom_site_fract_z
_atom_site_occupancy
Ca1 0.000 0.000 0.000 1
Mo1 0.126 0.126 0.626 1
Au1 0.250 0.250 0.250 1



[2]
# Pm7Y4Pu GGA-PBE optimized geometry
# Formation enthalpy at 0 K: 0.18 eV/atom
data_Pm7Y4Pu
_chemical_formula_sum 'Pm14 Y8 Pu2'
_symmetry_space_group_name_H-M 'C 1 2/m 1'
_symmetry_Int_Tables_number 12
_cell_length_a 11.430
_cell_length_b 5.507
_cell_length_c 13.184
_cell_angle_alpha 90.00
_cell_angle_beta 104.72
_cell_angle_gamma 90.00
loop_
_symmetry_equiv_pos_as_xyz
'x,y,z'
'-x,-y,-z'
'-x,y,-z'
'x,-y,z'
'x+1/2,y+1/2,z'
'-x+1/2,-y+1/2,-z'
'-x+1/2,y+1/2,-z'
'x+1/2,-y+1/2,z'
loop_
_atom_site_label
_atom_site_fract_x
_atom_site_fract_y
_atom_site_fract_z
_atom_site_occupancy
Pm1 0.000 0.000 0.000 1
Pm2 0.045 0.500 0.789 1
Pm3 0.140 0.500 0.463 1
Pm4 0.243 0.000 0.896 1
Y1 0.090 0.000 0.629 1
Y2 0.171 0.000 0.272 1
Pu1 0.000 0.500 0.000 1



[3]
# La2BeNi GGA-PBE optimized geometry
# Formation enthalpy at 0 K: 0.06 eV/atom
data_La2BeNi
_chemical_formula_sum 'La2 Be1 Ni1'
_symmetry_space_group_name_H-M 'P 4 m m'
_symmetry_Int_Tables_number 99
_cell_length_a 3.239
_cell_length_b 3.239
_cell_length_c 8.400
_cell_angle_alpha 90.00
_cell_angle_beta 90.00
_cell_angle_gamma 90.00
loop_
_symmetry_equiv_pos_as_xyz
'x,y,z'
'-y,x,z'
'-x,-y,z'
'y,-x,z'
'-x,y,z'
'y,x,z'
'x,-y,z'
'-y,-x,z'
loop_
_atom_site_label
_atom_site_fract_x
_atom_site_fract_y
_atom_site_fract_z
_atom_site_occupancy
La1 0.000 0.000 0.000 1
La2 0.500 0.500 0.415 1
Be1 0.500 0.500 0.755 1
Ni1 0.000 0.000 0.664 1



[4]
Below is a geometry-optimized ZrFe2NiH structure, with properties calculated at the GGA-PBE level.

```
data_ZrFe2NiH
_chemical_formula_sum 'Zr1 Fe2 Ni1 H1'
_symmetry_space_group_name_H-M 'P 4/m m m'
_symmetry_Int_Tables_number 123
_symmetry_space_group_name_Hall '-P 4 2'
_cell_length_a 3.799
_cell_length_b 3.799
_cell_length_c 3.836
_cell_angle_alpha 90.00
_cell_angle_beta 90.00
_cell_angle_gamma 90.00
loop_
_atom_site_label
_atom_site_fract_x
_atom_site_fract_y
_atom_site_fract_z
_atom_site_occupancy
Zr1 0.000 0.000 0.000 1
Fe1 0.000 0.500 0.500 1
Ni1 0.500 0.500 0.000 1
H1 0.500 0.500 0.500 1
```



[5]
# SiSe2BrCl GGA-PBE optimized geometry
# Formation energy without anion corrections: 1.74 eV/f.u.
data_SiSe2BrCl
_chemical_formula_sum 'Si1 Se2 Br1 Cl1'
_symmetry_space_group_name_H-M 'P 4/m m m'
_symmetry_Int_Tables_number 123
_symmetry_space_group_name_Hall '-P 4 2'
_cell_length_a 4.906
_cell_length_b 4.906
_cell_length_c 4.980
_cell_angle_alpha 90.00
_cell_angle_beta 90.00
_cell_angle_gamma 90.00
loop_
_atom_site_label
_atom_site_fract_x
_atom_site_fract_y
_atom_site_fract_z
_atom_site_occupancy
Si1 0.000 0.000 0.000 1
Se1 0.000 0.500 0.000 1
Br1 0.000 0.000 0.500 1
Cl1 0.500 0.500 0.500 1



[6]
Below is a geometry-optimized Sm2CoH8 structure, with properties calculated at the GGA-PBE level.

```
data_Sm2CoH8
_chemical_formula_sum 'Sm4 Co2 H16'
_symmetry_space_group_name_H-M 'C 1 2/m 1'
_symmetry_Int_Tables_number 12
_cell_length_a 13.639
_cell_length_b 3.611
_cell_length_c 4.196
_cell_angle_alpha 90.00
_cell_angle_beta 107.87
_cell_angle_gamma 90.00
loop_
_symmetry_equiv_pos_as_xyz
'x,y,z'
'-x,-y,-z'
'-x,y,-z'
'x,-y,z'
'x+1/2,y+1/2,z'
'-x+1/2,-y+1/2,-z'
'-x+1/2,y+1/2,-z'
'x+1/2,-y+1/2,z'
loop_
_atom_site_label
_atom_site_fract_x
_atom_site_fract_y
_atom_site_fract_z
_atom_site_occupancy
Sm1 0.143 0.000 0.143 1
Co1 0.000 0.500 0.500 1
H1 0.000 0.000 0.301 1
H2 0.096 0.500 0.828 1
H3 0.098 0.500 0.376 1
H4 0.238 0.000 0.738 1
```



[7]
# TbTmPuCd GGA-PBE optimized geometry
# Formation enthalpy at 0 K: 0.07 eV/atom
data_TbTmPuCd
_chemical_formula_sum 'Tb4 Tm4 Pu4 Cd4'
_symmetry_space_group_name_H-M 'F -4 3 m'
_symmetry_Int_Tables_number 216
_symmetry_space_group_name_Hall 'F -4 2 3'
_cell_length_a 7.608
_cell_length_b 7.608
_cell_length_c 7.608
_cell_angle_alpha 90.00
_cell_angle_beta 90.00
_cell_angle_gamma 90.00
loop_
_atom_site_label
_atom_site_fract_x
_atom_site_fract_y
_atom_site_fract_z
_atom_site_occupancy
Tb1 0.000 0.000 0.000 1
Tm1 0.000 0.000 0.500 1
Pu1 0.250 0.250 0.250 1
Cd1 0.250 0.250 0.750 1



[8]
# BaBe2Hg GGA-PBE optimized geometry
# Formation enthalpy at 0 K: 0.45 eV/atom
data_BaBe2Hg
_chemical_formula_sum 'Ba1 Be2 Hg1'
_symmetry_space_group_name_H-M 'P 4 m m'
_symmetry_Int_Tables_number 99
_cell_length_a 3.212
_cell_length_b 3.212
_cell_length_c 7.947
_cell_angle_alpha 90.00
_cell_angle_beta 90.00
_cell_angle_gamma 90.00
loop_
_symmetry_equiv_pos_as_xyz
'x,y,z'
'-y,x,z'
'-x,-y,z'
'y,-x,z'
'-x,y,z'
'y,x,z'
'x,-y,z'
'-y,-x,z'
loop_
_atom_site_label
_atom_site_fract_x
_atom_site_fract_y
_atom_site_fract_z
_atom_site_occupancy
Ba1 0.000 0.000 0.000 1
Be1 0.000 0.000 0.413 1
Be2 0.500 0.500 0.322 1
Hg1 0.500 0.500 0.649 1



[9]
# LiCuBiPt GGA-PBE optimized geometry
# Formation enthalpy at 0 K: -0.24 eV/atom
data_LiCuBiPt
_chemical_formula_sum 'Li4 Cu4 Bi4 Pt4'
_symmetry_space_group_name_H-M 'F -4 3 m'
_symmetry_Int_Tables_number 216
_symmetry_space_group_name_Hall 'F -4 2 3'
_cell_length_a 6.506
_cell_length_b 6.506
_cell_length_c 6.506
_cell_angle_alpha 90.00
_cell_angle_beta 90.00
_cell_angle_gamma 90.00
loop_
_atom_site_label
_atom_site_fract_x
_atom_site_fract_y
_atom_site_fract_z
_atom_site_occupancy
Li1 0.000 0.000 0.000 1
Cu1 0.250 0.250 0.750 1
Bi1 0.250 0.250 0.250 1
Pt1 0.000 0.000 0.500 1



[10]
# RbBiC2 GGA-PBE optimized geometry
# Formation enthalpy at 0 K: 1.86 eV/atom
data_RbBiC2
_chemical_formula_sum 'Rb4 Bi4 C8'
_symmetry_space_group_name_H-M 'I -4 2 d'
_symmetry_Int_Tables_number 122
_symmetry_space_group_name_Hall 'I -4 2bw'
_cell_length_a 6.882
_cell_length_b 6.882
_cell_length_c 8.584
_cell_angle_alpha 90.00
_cell_angle_beta 90.00
_cell_angle_gamma 90.00
loop_
_atom_site_label
_atom_site_fract_x
_atom_site_fract_y
_atom_site_fract_z
_atom_site_occupancy
Rb1 0.000 0.000 0.000 1
Bi1 0.000 0.000 0.500 1
C1 0.164 0.250 0.625 1



[11]
# KAlO3 GGA-PBE optimized geometry
# Formation energy without anion corrections: -8.18 eV/f.u.
data_KAlO3
_chemical_formula_sum 'K1 Al1 O3'
_symmetry_space_group_name_H-M 'P m -3 m'
_symmetry_Int_Tables_number 221
_symmetry_space_group_name_Hall '-P 4 2 3'
_cell_length_a 3.812
_cell_length_b 3.812
_cell_length_c 3.812
_cell_angle_alpha 90.00
_cell_angle_beta 90.00
_cell_angle_gamma 90.00
loop_
_atom_site_label
_atom_site_fract_x
_atom_site_fract_y
_atom_site_fract_z
_atom_site_occupancy
K1 0.000 0.000 0.000 1
Al1 0.500 0.500 0.500 1
O1 0.000 0.500 0.500 1



[12]
# LaPu2N GGA-PBE optimized geometry
# Formation energy without anion corrections: -1.71 eV/f.u.
data_LaPu2N
_chemical_formula_sum 'La3 Pu6 N3'
_symmetry_space_group_name_H-M 'R -3 m'
_symmetry_Int_Tables_number 166
_symmetry_space_group_name_Hall '-R 3 2"'
_cell_length_a 3.5221
_cell_length_b 3.5221
_cell_length_c 26.9986
_cell_angle_alpha 90.00
_cell_angle_beta 90.00
_cell_angle_gamma 120.00
loop_
_atom_site_label
_atom_site_fract_x
_atom_site_fract_y
_atom_site_fract_z
_atom_site_occupancy
La1 0.0000 0.0000 0.0000 1
Pu1 0.0000 0.0000 0.2176 1
N1 0.0000 0.0000 0.5000 1



Number 1: E_tot -183.65 eV per cell. Number 2: E_tot -142.64 eV per cell. Number 3: E_tot -19.10 eV per cell. Number 4: E_tot -35.20 eV per cell. Number 5: E_tot -14.18 eV per cell. Number 6: E_tot -93.51 eV per cell. Number 7: E_tot -96.23 eV per cell. Number 8: E_tot -7.87 eV per cell. Number 9: E_tot -67.53 eV per cell. Number 10: E_tot -63.39 eV per cell. Number 11: E_tot -27.90 eV per cell. Number 12: E_tot -130.88 eV per cell.